(1)
Pm2GaPd | the Alexandria database | PBE-GGA | relaxed; energy = -38.456 eV per cell; spin magnetization = 0.000 μB/atom
1.0
-0.7030 1.4042 4.5634
6.2891 -6.0553 2.8321
2.2578 4.1915 -3.4938
Pd Pm Ga
2 4 2
Direct
0.9865 0.2500 0.0000
0.0135 0.7500 0.0000
0.1809 0.0908 0.3634
0.8176 0.4092 0.6366
0.8191 0.9092 0.6366
0.1824 0.5908 0.3634
0.5128 0.7500 0.0000
0.4872 0.2500 0.0000

(2)
Pm2Ga2Pd3 | the Alexandria database | PBE-GGA | relaxed; energy = -36.811 eV per cell; spin magnetization = 0.000 μB/atom
1.0
-1.0784 -2.2891 3.0186
5.6952 0.6799 -0.0196
-3.2902 5.5961 3.0683
Pm Pd Ga
2 3 2
Direct
0.1267 0.2535 0.7641
0.8733 0.7465 0.2359
0.5000 0.0000 0.0000
0.3770 0.7540 0.5634
0.6230 0.2460 0.4366
0.8451 0.6903 0.7781
0.1549 0.3097 0.2219

(3)
Pm3GaPd3 | the Alexandria database | PBE-GGA | relaxed; energy = -73.573 eV per cell; spin magnetization = 0.000 μB/atom
1.0
-1.4487 4.2463 -3.6986
4.8597 -3.7181 -6.1723
-8.3816 -2.1498 0.8149
Pd Ga Pm
6 2 6
Direct
0.2500 0.6893 0.6373
0.7500 0.6373 0.9480
0.7500 0.3107 0.3627
0.2500 0.3627 0.0520
0.2500 0.9480 0.3107
0.7500 0.0520 0.6893
0.2500 0.6667 0.3333
0.7500 0.3333 0.6667
0.7500 0.6857 0.6378
0.2500 0.6378 0.9521
0.2500 0.0479 0.6857
0.2500 0.3143 0.3622
0.7500 0.3622 0.0479
0.7500 0.9521 0.3143

(4)
Pm3Ga2Pd9 | the Alexandria database | PBE-GGA | relaxed; energy = -76.809 eV per cell; spin magnetization = 0.000 μB/atom
1.0
4.0388 0.0000 0.0000
2.0194 8.1232 -0.5883
2.0194 1.2683 8.0451
Pd Pm Ga
9 3 2
Direct
0.1309 0.5768 0.1613
0.8691 0.4232 0.8387
0.6518 0.9702 0.7261
0.6518 0.7261 0.9702
0.1309 0.1613 0.5768
0.3482 0.2739 0.0298
0.3482 0.0298 0.2739
0.8691 0.8387 0.4232
0.0000 0.5000 0.5000
0.3090 0.6910 0.6910
0.6910 0.3090 0.3090
0.0000 0.0000 0.0000
0.5000 0.2909 0.7091
0.5000 0.7091 0.2909

(5)
Pm3GaPd12 | the Alexandria database | PBE-GGA | relaxed; energy = -90.864 eV per cell; spin magnetization = 0.000 μB/atom
1.0
4.1611 0.0000 0.0000
0.0000 4.1611 0.0000
0.0000 0.0000 16.1728
Pd Ga Pm
12 1 3
Direct
0.5000 0.5000 0.7604
0.0000 0.5000 0.8909
0.5000 0.0000 0.8909
0.5000 0.5000 0.5000
0.5000 0.5000 0.0000
0.0000 0.5000 0.3701
0.5000 0.0000 0.1091
0.0000 0.5000 0.6299
0.5000 0.0000 0.3701
0.0000 0.5000 0.1091
0.5000 0.0000 0.6299
0.5000 0.5000 0.2396
0.0000 0.0000 0.0000
0.0000 0.0000 0.5000
0.0000 0.0000 0.7598
0.0000 0.0000 0.2402

(6)
PmGa2Pd2 | the Alexandria database | PBE-GGA | relaxed; energy = -50.434 eV per cell; spin magnetization = 0.000 μB/atom
1.0
-4.1785 0.2375 1.2306
-0.2154 -4.3557 0.1091
2.8682 0.1017 9.7195
Pm Pd Ga
2 4 4
Direct
0.0000 0.5000 0.7480
0.5000 0.0000 0.2520
0.0000 0.5000 0.3708
0.0000 0.0000 0.0000
0.5000 0.0000 0.6292
0.5000 0.5000 0.0000
0.5000 0.5000 0.5000
0.5000 0.0000 0.8721
0.0000 0.5000 0.1279
0.0000 0.0000 0.5000

(7)
Pm2Ga9Pd6 | the Alexandria database | PBE-GGA | relaxed; energy = -77.441 eV per cell; spin magnetization = 0.000 μB/atom
1.0
-1.2386 -3.0694 4.2790
-0.6788 -1.9368 -5.0054
11.9260 -4.5908 0.1589
Ga Pd Pm
9 6 2
Direct
0.0000 0.5000 0.1605
0.0000 0.5000 0.8395
0.0000 0.5000 0.5000
0.5000 0.0000 0.1605
0.5000 0.0000 0.5000
0.5000 0.5000 0.1605
0.5000 0.5000 0.8395
0.5000 0.0000 0.8395
0.5000 0.5000 0.5000
0.3333 0.6667 0.6723
0.6667 0.3333 0.6723
0.6667 0.3333 0.0000
0.3333 0.6667 0.3277
0.3333 0.6667 0.0000
0.6667 0.3333 0.3277
0.0000 0.0000 0.6566
0.0000 0.0000 0.3434

(8)
Pm5Ga4Pd | the Alexandria database | PBE-GGA | relaxed; energy = -47.104 eV per cell; spin magnetization = 0.000 μB/atom
1.0
-0.2985 -3.2803 1.5688
3.1698 -1.0060 -1.5004
8.9596 6.2375 14.7467
Pd Ga Pm
1 4 5
Direct
0.0000 0.0000 0.0000
0.0000 0.0000 0.6002
0.0000 0.0000 0.3998
0.0000 0.0000 0.1981
0.0000 0.0000 0.8019
0.5000 0.5000 0.2985
0.5000 0.5000 0.7015
0.5000 0.5000 0.9036
0.5000 0.5000 0.0964
0.5000 0.5000 0.5000

(9)
Pm3Ga4Pd7 | the Alexandria database | PBE-GGA | relaxed; energy = -74.342 eV per cell; spin magnetization = 0.000 μB/atom
1.0
-2.0408 3.3958 1.4058
-6.6995 0.5109 -4.6745
-6.6395 -3.1479 4.2510
Pd Ga Pm
7 4 3
Direct
0.5037 0.7761 0.2165
0.3083 0.8443 0.5391
0.1601 0.6025 0.0774
0.6917 0.1557 0.4609
0.8399 0.3975 0.9226
0.4963 0.2239 0.7835
0.0000 0.0000 0.0000
0.6625 0.4498 0.2252
0.3375 0.5502 0.7748
0.1148 0.1081 0.6623
0.8852 0.8919 0.3377
0.0000 0.5000 0.5000
0.6738 0.8193 0.8331
0.3262 0.1807 0.1669

(10)
Pm3GaPd3 | the Alexandria database | PBE-GGA | relaxed; energy = -76.886 eV per cell; spin magnetization = 0.000 μB/atom
1.0
4.0285 0.0000 0.6068
1.9796 5.4267 0.5334
-0.1609 0.0912 14.7433
Pm Pd Ga
6 6 2
Direct
0.4812 0.6528 0.3847
0.6045 0.7155 0.0756
0.7386 0.7506 0.7722
0.2614 0.2494 0.2278
0.5188 0.3472 0.6153
0.3955 0.2845 0.9244
0.0269 0.1794 0.7669
0.1187 0.8381 0.9244
0.1423 0.2515 0.4639
0.8813 0.1619 0.0756
0.8577 0.7485 0.5361
0.9731 0.8206 0.2331
0.2334 0.9221 0.6111
0.7666 0.0779 0.3889

(11)
PmGa6Pd6 | the Alexandria database | PBE-GGA | relaxed; energy = -62.226 eV per cell; spin magnetization = 0.000 μB/atom
1.0
-3.3161 -2.2581 -3.7802
1.2924 -6.7008 -1.1501
-5.3931 -3.3725 2.7265
Pd Ga Pm
6 6 1
Direct
0.0000 0.0000 0.5000
0.5000 0.2410 0.7590
0.0000 0.5000 0.0000
0.5000 0.0000 0.5000
0.5000 0.5000 0.0000
0.5000 0.7590 0.2410
0.3429 0.6571 0.6571
0.6571 0.3429 0.3429
0.6790 0.8210 0.8210
0.0000 0.6477 0.3523
0.0000 0.3523 0.6477
0.3210 0.1790 0.1790
0.0000 0.0000 0.0000

(12)
Pm3Ga8Pd3 | the Alexandria database | PBE-GGA | relaxed; energy = -63.856 eV per cell; spin magnetization = 0.000 μB/atom
1.0
-0.9430 -3.5621 2.5201
0.0116 -6.4449 -5.1514
7.0876 -4.4265 0.3494
Ga Pm Pd
8 3 3
Direct
0.5036 0.6706 0.3222
0.3471 0.0221 0.2836
0.6529 0.9779 0.7164
0.8601 0.8529 0.4270
0.4964 0.3294 0.6778
0.8505 0.4325 0.8665
0.1495 0.5675 0.1335
0.1399 0.1471 0.5730
0.2918 0.7159 0.7006
0.0000 0.0000 0.0000
0.7082 0.2841 0.2994
0.6509 0.7036 0.9946
0.3491 0.2964 0.0054
0.0000 0.5000 0.5000